The following is a DFT calculation (PBE) of a relaxed structure of Ac8Tl3.

abc: 10.9918 10.9918 13.9481
angles: 90.00 90.00 120.00
Space group R-3m (No. 166, hexagonal axes)
Asymmetric unit:
Ac  0.0000  0.0000  0.2491
Ac  0.0172  0.5086  0.7519
Tl  0.0000  0.5000  0.0000

Computed properties:
Uncorrected energy (eV for the cell shown): -117.1
DFT formation energy (eV per atom): 0.084
Size of the total moment (μB per formula unit): 1.2